Here is a geometry-optimized CdSb2P2 structure from Alexandria. Energies are from PBE.

a b c (Å): 7.9374 7.9374 3.7440
angles (deg): 90.00 90.00 90.00
Last column: nearest neighbours and their distance in Å.
Space group P4/mbm (No. 127)
Asymmetric unit:
Cd: 0.0000 0.0000 0.0000  4 P 2.91
Sb: 0.1580 0.3420 0.5000  2 P 2.60
P: 0.1813 0.6813 0.0000  2 Sb 2.60, 2 Cd 2.91

Values from the calculation:
The density of states at the Fermi level is 6.6 states/eV/cell. Its raw formation energy is 300 meV per atom. The calculation puts the magnetic moment at 0.000 μB/f.u. As for the volume: 23.588 Å³ per atom.